A geometry-optimized Nd6Te2PbSe3 structure, computed with PBE.

a = 19.155 Å, b = 4.357 Å, c = 8.819 Å
α = 90.00°, β = 103.73°, γ = 90.00°
Space group C2/m (No. 12)
One atom of each set of equivalent atoms:
Nd (0.004, 0.000, 0.242) x4
Nd (0.159, 0.500, 0.099) x4
Nd (0.169, 0.500, 0.566) x4
Te (0.169, 0.000, 0.837) x4
Pb (0.000, 0.500, 0.500) x2
Se (0.000, 0.500, 0.000) x2
Se (0.167, 0.000, 0.333) x4

Properties
Total magnetic moment in μB per formula unit: 0.0
ΔE_f (raw) in meV per atom: -1499
Raw total energy in eV/atom: -5.587
N(E_F) in states/eV per cell: 9.6